# 1
Sr6SiHg5: relaxed, PBE.

Cell and atoms, written as POSCAR:
```
Sr6SiHg5
1.0
2.791 -8.401 0.000
2.791 8.401 0.000
0.000 0.000 8.011
Sr Si Hg
6 1 5
Direct
0.000 0.000 0.241 Sr
0.000 0.000 0.759 Sr
0.338 0.662 0.247 Sr
0.338 0.662 0.753 Sr
0.662 0.338 0.247 Sr
0.662 0.338 0.753 Sr
0.500 0.500 0.000 Si
0.169 0.831 0.000 Hg
0.169 0.831 0.500 Hg
0.500 0.500 0.500 Hg
0.831 0.169 0.000 Hg
0.831 0.169 0.500 Hg
```

Summary:
Electronic total energy   -1.910 eV/atom
Formation energy from raw total energies   -47 kJ/mol of atoms

=====

# 2
SrSi2Hg: relaxed, PBE.

Cell and atoms, written as POSCAR:
```
SrSi2Hg
1.0
4.526 0.000 0.000
0.000 4.526 0.000
0.000 0.000 4.428
Sr Si Hg
1 2 1
Direct
0.000 0.000 0.000 Sr
0.000 0.500 0.500 Si
0.500 0.000 0.500 Si
0.500 0.500 0.000 Hg
```

Summary:
Electronic total energy   -3.089 eV/atom
Formation energy from raw total energies   11 kJ/mol of atoms

=====

# 3
SrSi2Hg: relaxed, PBE.

Cell and atoms, written as POSCAR:
```
SrSi2Hg
1.0
4.145 0.000 0.000
0.000 3.801 0.000
-2.071 0.000 6.323
Sr Si Hg
1 2 1
Direct
0.000 0.000 0.000 Sr
0.627 0.500 0.256 Si
0.740 0.000 0.480 Si
0.327 0.500 0.653 Hg
```

Summary:
Electronic total energy   -3.297 eV/atom
Formation energy from raw total energies   -9 kJ/mol of atoms

=====

# 4
SrSiHg4: relaxed, PBE.

Cell and atoms, written as POSCAR:
```
SrSiHg4
1.0
0.000 4.293 4.293
4.293 0.000 4.293
4.293 4.293 0.000
Sr Si Hg
1 1 4
Direct
0.000 0.000 0.000 Sr
0.250 0.250 0.250 Si
0.127 0.624 0.624 Hg
0.624 0.127 0.624 Hg
0.624 0.624 0.127 Hg
0.624 0.624 0.624 Hg
```

Summary:
Electronic total energy   -1.318 eV/atom
Formation energy from raw total energies   7 kJ/mol of atoms